First-principles (GGA-PBE) data for ZnAg5 after structural relaxation, as listed in OQMD.

Cell and atoms, written as POSCAR:
```
ZnAg5
1.0
2.5270 1.4590 9.4667
-2.5270 1.4590 9.4667
0.0000 -2.9179 9.4667
Zn Ag
2 10
Cartesian
0.0000 0.0000 0.0000
0.0000 0.0000 14.2001
-1.6732 0.0199 11.8334
0.0000 0.0000 4.7522
-0.8538 -1.4391 16.5668
0.0000 0.0000 9.4479
0.8194 -1.4590 11.8334
-0.8194 1.4590 16.5668
0.0000 0.0000 18.9523
0.8538 1.4391 11.8334
0.0000 0.0000 23.6480
1.6732 -0.0198 16.5668
```

Calculated values
**DFT total energy**: -0.095 Ha/atom
**Crystal system**: trigonal
**Calculated formation energy**: -0.02 eV per atom